! CsHgTe2I (PBE, relaxed); values from VASP
&SYSTEM
  ibrav = 0, nat = 5, ntyp = 4
/
ATOMIC_SPECIES
Cs 132.91 Cs.upf
I 126.90 I.upf
Hg 200.59 Hg.upf
Te 127.60 Te.upf
ATOMIC_POSITIONS angstrom
Cs 3.115 -3.664 2.128
I 2.577 0.310 2.197
Hg 0.000 0.000 0.000
Te -1.012 -2.187 1.496
Te 1.550 -1.787 -1.565
CELL_PARAMETERS angstrom
-2.024 -4.375 2.992
3.100 -3.575 -3.130
5.153 0.621 4.394
! energy above the most stable polymorph in this dataset	0	meV per atom
! crystal system	tetragonal
! Fermi-level density of states	1.808	states/eV per atom
! space group	P4/mmm
! raw formation energy	-274.1	meV/atom

***

! Cu2POs (PBE, relaxed); values from VASP
&SYSTEM
  ibrav = 0, nat = 4, ntyp = 3
/
ATOMIC_SPECIES
Os 190.23 Os.upf
Cu 63.55 Cu.upf
P 30.97 P.upf
ATOMIC_POSITIONS angstrom
Os 2.963 2.103 0.000
Cu 0.000 0.000 0.000
P 2.241 -0.020 1.313
Cu 0.722 2.122 1.313
CELL_PARAMETERS angstrom
4.483 -0.039 0.000
1.443 4.244 0.000
-2.963 -2.103 2.626
! crystal system	tetragonal
! Fermi-level density of states	0.627	states/eV per atom
! space group	I-4m2
! energy relative to the elements	0.25	eV per atom

***

! IrOs3 (PBE, relaxed); values from VASP
&SYSTEM
  ibrav = 0, nat = 4, ntyp = 2
/
ATOMIC_SPECIES
Os 190.23 Os.upf
Ir 192.22 Ir.upf
ATOMIC_POSITIONS angstrom
Os -1.700 0.649 4.344
Os -2.035 -0.209 1.769
Os 0.333 0.853 2.559
Ir 0.000 0.000 0.000
CELL_PARAMETERS angstrom
-2.952 1.501 -0.116
-1.449 -2.766 1.110
0.666 1.706 5.119
! crystal system	tetragonal
! Fermi-level density of states	1.361	states/eV per atom
! space group	P4/mmm
! energy relative to the elements	0.64	eV per atom

***

! AcCeRuI (PBE, relaxed); values from VASP
&SYSTEM
  ibrav = 0, nat = 4, ntyp = 4
/
ATOMIC_SPECIES
Ru 101.07 Ru.upf
Ce 140.12 Ce.upf
I 126.90 I.upf
Ac 227.00 Ac.upf
ATOMIC_POSITIONS angstrom
Ru -1.670 0.968 7.610
Ce -1.833 3.301 0.376
I 2.423 0.904 2.887
Ac 0.339 -0.299 5.664
CELL_PARAMETERS angstrom
4.194 -0.007 -0.055
-2.102 3.643 0.000
-2.208 -1.275 8.449
! crystal system	monoclinic
! Fermi-level density of states	0.964	states/eV per atom
! space group	Cm
! raw formation energy	-709.0	meV/atom

***

! ZrTlSe2O8 (PBE, relaxed); values from VASP
&SYSTEM
  ibrav = 0, nat = 12, ntyp = 4
/
ATOMIC_SPECIES
O 16.00 O.upf
Tl 204.38 Tl.upf
Se 78.96 Se.upf
Zr 91.22 Zr.upf
ATOMIC_POSITIONS angstrom
O 6.014 3.652 0.424
Tl 0.164 0.099 4.234
O 5.548 3.369 3.227
O 3.182 3.623 6.925
O 4.909 1.289 1.504
O 2.076 1.261 8.005
O 4.682 1.152 6.925
O 3.408 3.761 1.504
O 2.543 1.544 5.202
Se 3.088 1.875 6.729
Zr 0.000 0.000 0.000
Se 5.003 3.037 1.700
CELL_PARAMETERS angstrom
5.388 -0.125 -0.019
2.375 4.839 -0.019
0.327 0.199 8.467
! crystal system	monoclinic
! Fermi-level density of states	0.228	states/eV per atom
! space group	C2/m
! raw formation energy	-1235.7	meV/atom

***

! TaCoSi2 (PBE, relaxed); values from VASP
&SYSTEM
  ibrav = 0, nat = 4, ntyp = 3
/
ATOMIC_SPECIES
Ta 180.95 Ta.upf
Co 58.93 Co.upf
Si 28.09 Si.upf
ATOMIC_POSITIONS angstrom
Ta 0.594 3.858 0.792
Co -0.566 5.664 2.439
Si 1.088 7.065 1.450
Si -1.153 1.852 1.656
CELL_PARAMETERS angstrom
-2.680 0.438 -0.124
-0.208 -0.514 2.661
1.140 7.406 1.520
! crystal system	tetragonal
! Fermi-level density of states	1.029	states/eV per atom
! space group	P4mm
! raw formation energy	-17.7	meV/atom